Entry 1
VASP calculation (GGA+U) on a relaxed MnSbPO2 crystal.

D(E_F)	1.456	states/eV per cell
size of the total moment	3.23	μB/cell

Cell lengths 3.857, 3.857, 4.887 Å; angles 90.00, 90.00, 90.00 degrees
Site moments in Bohr magnetons follow the coordinates.
Atoms (fractional coordinates):
O 0.000 0.500 0.000  -0.10
O 0.500 0.000 0.000  -0.10
Mn 0.000 0.000 0.000  3.57
P 0.000 0.000 0.500  -0.17
Sb 0.500 0.500 0.500  0.04



Entry 2
VASP calculation (GGA+U) on a relaxed MnSbPO2 crystal.

D(E_F)	1.103	states/eV per cell
size of the total moment	4.73	μB/cell

Cell lengths 3.930, 3.930, 5.327 Å; angles 90.00, 90.00, 90.00 degrees
Site moments in Bohr magnetons follow the coordinates.
Atoms (fractional coordinates):
Mn 0.500 0.500 0.500  4.61
O 0.500 0.000 0.000  0.01
O 0.000 0.500 0.000  0.01
P 0.000 0.000 0.500  -0.11
Sb 0.000 0.000 0.000  0.01



Last place for stability: entry 1